(1)
Computed, not measured: a geometry-optimized PrDyHo4 structure at the PBE level of DFT.

ρ ... 8152 kg/m3
Total DFT energy (no corrections) ... -104.75 eV for the cell shown
D(E_F) ... 1.43 states/eV/atom
ΔE_f ... 251 meV/atom

a = 6.6560 Å, b = 11.9620 Å, c = 9.8568 Å
α = 90.00°, β = 90.00°, γ = 90.00°
Closest atoms and distances in Å follow each position.
Space group Cmcm (No. 63)
Symmetry-distinct sites (fractional):
1 Pr 0.0000 0.1760 0.2500 (multiplicity 4)  2 Ho 3.10, 2 Dy 3.24
2 Dy 0.0000 0.0000 0.0000 (multiplicity 4)  2 Pr 3.24, 4 Ho 3.24
3 Ho 0.0000 0.3464 0.5691 (multiplicity 8)  8 Ho 3.57-3.92, 3 Pr 3.75-3.78, 2 Dy 3.86
4 Ho 0.2422 0.3974 0.2500 (multiplicity 8)  1 Pr 3.10, 2 Ho 3.22-3.43, 2 Dy 3.24


(2)
Computed, not measured: a geometry-optimized Pr5Dy4Ho structure at the PBE level of DFT.

ρ ... 7490 kg/m3
Total DFT energy (no corrections) ... -93.40 eV for the cell shown
D(E_F) ... 1.32 states/eV/atom
ΔE_f ... 18 meV/atom

a = 18.8083 Å, b = 3.6302 Å, c = 10.2676 Å
α = 90.00°, β = 106.05°, γ = 90.00°
Closest atoms and distances in Å follow each position.
Space group C2/m (No. 12)
Symmetry-distinct sites (fractional):
1 Pr 0.0000 0.0000 0.0000 (multiplicity 2)  8 Pr 3.62-3.66, 4 Dy 3.68
2 Pr 0.0996 0.5000 0.3058 (multiplicity 4)  4 Dy 3.58-3.63, 2 Ho 3.58, 6 Pr 3.63-3.68
3 Pr 0.2002 0.0000 0.1004 (multiplicity 4)  5 Dy 3.60-3.66, 7 Pr 3.62-3.68
4 Dy 0.1005 0.5000 0.7947 (multiplicity 4)  4 Dy 3.58-3.63, 2 Ho 3.59, 6 Pr 3.60-3.68
5 Dy 0.1994 0.0000 0.5998 (multiplicity 4)  5 Pr 3.58-3.63, 6 Dy 3.58-3.64, 1 Ho 3.60
6 Ho 0.0000 0.0000 0.5000 (multiplicity 2)  4 Pr 3.58, 6 Dy 3.59-3.60, 2 Ho 3.63


(3)
Computed, not measured: a geometry-optimized Pr6DyHo8 structure at the PBE level of DFT.

ρ ... 7666 kg/m3
Total DFT energy (no corrections) ... -204.32 eV for the cell shown
D(E_F) ... 1.46 states/eV/atom
ΔE_f ... 120 meV/atom

a = 9.1243 Å, b = 9.1243 Å, c = 20.9769 Å
α = 90.00°, β = 90.00°, γ = 120.00°
Closest atoms and distances in Å follow each position.
Space group R-3 (No. 148, hexagonal axes)
Symmetry-distinct sites (fractional):
1 Pr 0.0606 0.2487 0.2110 (multiplicity 18)  4 Ho 3.40-3.70, 1 Dy 3.48, 2 Pr 3.55
2 Dy 0.0000 0.0000 0.5000 (multiplicity 3)  6 Pr 3.48, 6 Ho 3.56
3 Ho 0.0000 0.0000 0.0767 (multiplicity 6)  4 Ho 3.22-3.44, 3 Pr 3.48
4 Ho 0.0806 0.5581 0.3069 (multiplicity 18)  3 Pr 3.40-3.70, 5 Ho 3.44-3.47, 1 Dy 3.56


(4)
Computed, not measured: a geometry-optimized Pr4DyHo7 structure at the PBE level of DFT.

ρ ... 7650 kg/m3
Total DFT energy (no corrections) ... -105.16 eV for the cell shown
D(E_F) ... 1.66 states/eV/atom
ΔE_f ... 265 meV/atom

a = 12.1262 Å, b = 5.9263 Å, c = 12.8706 Å
α = 90.00°, β = 118.02°, γ = 90.00°
Closest atoms and distances in Å follow each position.
Space group C2/m (No. 12)
Symmetry-distinct sites (fractional):
1 Pr 0.1397 0.0000 0.2776 (multiplicity 4)  7 Ho 3.40-3.73, 2 Pr 3.63
2 Pr 0.2168 0.5000 0.1622 (multiplicity 4)  4 Ho 3.29-3.53, 2 Pr 3.63
3 Dy 0.0000 0.5000 0.5000 (multiplicity 2)  4 Ho 2.96-3.15
4 Ho 0.0000 0.0000 0.5000 (multiplicity 2)  2 Dy 2.96, 2 Ho 3.16
5 Ho 0.0712 0.5000 0.8081 (multiplicity 4)  4 Ho 3.29-3.66, 1 Dy 3.64
6 Ho 0.1322 0.0000 0.9936 (multiplicity 4)  4 Ho 3.29-3.66, 5 Pr 3.29-3.61
7 Ho 0.2117 0.5000 0.4235 (multiplicity 4)  1 Dy 3.15, 4 Ho 3.16-3.44, 4 Pr 3.39-3.40


(5)
Computed, not measured: a geometry-optimized Pr3Dy6Ho structure at the PBE level of DFT.

ρ ... 7665 kg/m3
Total DFT energy (no corrections) ... -88.51 eV for the cell shown
D(E_F) ... 1.85 states/eV/atom
ΔE_f ... 227 meV/atom

a = 11.5972 Å, b = 6.6015 Å, c = 9.7818 Å
α = 90.00°, β = 115.30°, γ = 90.00°
Closest atoms and distances in Å follow each position.
Space group C2/m (No. 12)
Symmetry-distinct sites (fractional):
1 Pr 0.0000 0.0000 0.0000 (multiplicity 2)  4 Dy 3.35, 2 Pr 3.37
2 Pr 0.0713 0.0000 0.7005 (multiplicity 4)  4 Dy 3.30-3.37, 2 Pr 3.37-3.55
3 Dy 0.1355 0.5000 0.9205 (multiplicity 4)  1 Ho 3.72, 9 Dy 3.80-4.10, 6 Pr 3.81-3.96
4 Dy 0.1857 0.2548 0.3136 (multiplicity 8)  3 Dy 3.24-3.36, 3 Pr 3.30-3.37
5 Ho 0.0000 0.5000 0.5000 (multiplicity 2)  10 Dy 3.71-3.73, 4 Pr 3.75


(6)
Computed, not measured: a geometry-optimized PrDy6Ho3 structure at the PBE level of DFT.

ρ ... 8283 kg/m3
Total DFT energy (no corrections) ... -178.44 eV for the cell shown
D(E_F) ... 1.39 states/eV/atom
ΔE_f ... 151 meV/atom

a = 11.0201 Å, b = 18.9382 Å, c = 6.1886 Å
α = 90.00°, β = 90.00°, γ = 90.00°
Closest atoms and distances in Å follow each position.
Space group Cmc2_1 (No. 36)
Symmetry-distinct sites (fractional):
1 Pr 0.0000 0.2062 0.0000 (multiplicity 4)  3 Ho 3.27-3.51, 7 Dy 3.27-3.49
2 Dy 0.0000 0.0461 0.7617 (multiplicity 4)  1 Pr 3.37, 4 Ho 3.52-3.60, 4 Dy 3.55-3.76
3 Dy 0.0000 0.2845 0.4901 (multiplicity 4)  4 Dy 3.24-3.39, 1 Ho 3.34, 2 Pr 3.38-3.49
4 Dy 0.1650 0.4539 0.3810 (multiplicity 8)  4 Ho 3.40-3.58, 6 Dy 3.41-3.76
5 Dy 0.2496 0.2103 0.7150 (multiplicity 8)  5 Dy 3.24-3.44, 2 Pr 3.27-3.45, 2 Ho 3.28-3.57
6 Ho 0.0000 0.3899 0.9220 (multiplicity 4)  5 Dy 3.34-3.58, 1 Pr 3.51, 2 Ho 3.67
7 Ho 0.1736 0.1091 0.3075 (multiplicity 8)  1 Pr 3.27, 6 Dy 3.28-3.60


(7)
Computed, not measured: a geometry-optimized Pr5Dy2Ho structure at the PBE level of DFT.

ρ ... 7041 kg/m3
Total DFT energy (no corrections) ... -143.13 eV for the cell shown
D(E_F) ... 1.64 states/eV/atom
ΔE_f ... 237 meV/atom

a = 13.0651 Å, b = 15.9641 Å, c = 6.0734 Å
α = 90.00°, β = 117.19°, γ = 90.00°
Closest atoms and distances in Å follow each position.
Space group C2/c (No. 15)
Symmetry-distinct sites (fractional):
1 Pr 0.0000 0.2031 0.2500 (multiplicity 4)  2 Dy 3.00
2 Pr 0.1602 0.4463 0.4109 (multiplicity 8)  1 Dy 3.30, 3 Pr 3.49-3.64
3 Pr 0.1897 0.1461 0.9396 (multiplicity 8)  4 Dy 3.52-3.56, 6 Pr 3.60-3.88, 2 Ho 3.61-3.85
4 Dy 0.0000 0.0000 0.0000 (multiplicity 4)  2 Dy 3.04
5 Dy 0.2500 0.2500 0.5000 (multiplicity 4)  4 Pr 3.00-3.30
6 Ho 0.0000 0.3440 0.7500 (multiplicity 4)  12 Pr 3.61-3.94


(8)
Computed, not measured: a geometry-optimized PrDy8Ho2 structure at the PBE level of DFT.

ρ ... 8027 kg/m3
Total DFT energy (no corrections) ... -98.28 eV for the cell shown
D(E_F) ... 1.64 states/eV/atom
ΔE_f ... 146 meV/atom

a = 19.1575 Å, b = 6.9319 Å, c = 5.5242 Å
α = 90.00°, β = 92.93°, γ = 90.00°
Closest atoms and distances in Å follow each position.
Space group C2/m (No. 12)
Symmetry-distinct sites (fractional):
1 Pr 0.0000 0.0000 0.0000 (multiplicity 2)  10 Dy 3.55-3.80
2 Dy 0.0469 0.5000 0.2380 (multiplicity 4)  1 Dy 3.11, 1 Ho 3.23
3 Dy 0.1340 0.2669 0.7321 (multiplicity 8)  4 Dy 3.23-3.52, 3 Ho 3.42-3.58, 1 Pr 3.55
4 Dy 0.1888 0.0000 0.2334 (multiplicity 4)  4 Ho 3.31-3.50, 4 Dy 3.45-3.52
5 Ho 0.2155 0.5000 0.2508 (multiplicity 4)  11 Dy 3.23-3.58


(9)
Computed, not measured: a geometry-optimized Pr2Dy6Ho structure at the PBE level of DFT.

ρ ... 7994 kg/m3
Total DFT energy (no corrections) ... -162.87 eV for the cell shown
D(E_F) ... 1.31 states/eV/atom
ΔE_f ... 115 meV/atom

a = 12.8591 Å, b = 14.3379 Å, c = 6.6072 Å
α = 90.00°, β = 104.14°, γ = 90.00°
Closest atoms and distances in Å follow each position.
Space group C2/c (No. 15)
Symmetry-distinct sites (fractional):
1 Pr 0.1446 0.0259 0.3746 (multiplicity 8)  3 Pr 3.39-3.68, 7 Dy 3.43-3.70
2 Dy 0.0352 0.1887 0.0038 (multiplicity 8)  5 Dy 3.25-3.58, 1 Ho 3.31, 3 Pr 3.43-3.57
3 Dy 0.1308 0.4089 0.8152 (multiplicity 8)  3 Dy 3.26-3.44, 1 Ho 3.40, 2 Pr 3.53-3.54
4 Dy 0.2404 0.2019 0.7300 (multiplicity 8)  7 Dy 3.38-3.78, 2 Pr 3.46-3.70, 1 Ho 3.52
5 Ho 0.0000 0.3830 0.2500 (multiplicity 4)  8 Dy 3.31-3.69


(10)
Computed, not measured: a geometry-optimized Pr3DyHo3 structure at the PBE level of DFT.

ρ ... 7448 kg/m3
Total DFT energy (no corrections) ... -185.20 eV for the cell shown
D(E_F) ... 1.56 states/eV/atom
ΔE_f ... 258 meV/atom

a = 8.7465 Å, b = 8.7465 Å, c = 21.8071 Å
α = 90.00°, β = 90.00°, γ = 120.00°
Closest atoms and distances in Å follow each position.
Space group R-3 (No. 148, hexagonal axes)
Symmetry-distinct sites (fractional):
1 Pr 0.0044 0.7623 0.0592 (multiplicity 18)  3 Ho 3.28-3.39, 4 Pr 3.33-3.63, 1 Dy 3.50
2 Dy 0.0000 0.0000 0.3504 (multiplicity 6)  6 Pr 3.50-3.81, 6 Ho 3.70-3.78
3 Ho 0.0588 0.6076 0.8803 (multiplicity 18)  3 Pr 3.28-3.39


(11)
Computed, not measured: a geometry-optimized PrDy4Ho7 structure at the PBE level of DFT.

ρ ... 8227 kg/m3
Total DFT energy (no corrections) ... -103.87 eV for the cell shown
D(E_F) ... 1.70 states/eV/atom
ΔE_f ... 275 meV/atom

a = 12.0556 Å, b = 5.8597 Å, c = 12.5838 Å
α = 90.00°, β = 117.94°, γ = 90.00°
Closest atoms and distances in Å follow each position.
Space group C2/m (No. 12)
Symmetry-distinct sites (fractional):
1 Pr 0.0000 0.0000 0.0000 (multiplicity 2)  4 Ho 2.93-3.12
2 Dy 0.1320 0.5000 0.7747 (multiplicity 4)  7 Ho 3.36-3.58, 2 Dy 3.67
3 Dy 0.2489 0.0000 0.6826 (multiplicity 4)  4 Ho 3.25-3.56
4 Ho 0.0000 0.5000 0.0000 (multiplicity 2)  2 Pr 2.93, 2 Ho 3.15
5 Ho 0.0592 0.0000 0.3304 (multiplicity 4)  4 Ho 3.29-3.51, 3 Dy 3.58-3.64
6 Ho 0.1342 0.5000 0.5033 (multiplicity 4)  4 Ho 3.20-3.51, 5 Dy 3.25-3.56
7 Ho 0.2109 0.0000 0.9222 (multiplicity 4)  1 Pr 3.12, 4 Ho 3.15-3.40, 4 Dy 3.25-3.37


(12)
Computed, not measured: a geometry-optimized Pr3Dy5Ho3 structure at the PBE level of DFT.

ρ ... 6542 kg/m3
Total DFT energy (no corrections) ... -42.25 eV for the cell shown
D(E_F) ... 1.39 states/eV/atom
ΔE_f ... 803 meV/atom

a = 9.6777 Å, b = 9.6777 Å, c = 5.4143 Å
α = 90.00°, β = 90.00°, γ = 120.00°
Closest atoms and distances in Å follow each position.
Space group P-62m (No. 189)
Symmetry-distinct sites (fractional):
1 Pr 0.0000 0.3640 0.0000 (multiplicity 3)  4 Dy 3.09-3.16, 2 Ho 3.20
2 Dy 0.0000 0.7343 0.0000 (multiplicity 3)  2 Pr 3.16, 2 Ho 3.29
3 Dy 0.3333 0.6667 0.0000 (multiplicity 2)  3 Pr 3.09
4 Ho 0.0000 0.5406 0.5000 (multiplicity 3)  2 Pr 3.20, 2 Dy 3.29


(13)
Computed, not measured: a geometry-optimized PrDy3Ho5 structure at the PBE level of DFT.

ρ ... 8081 kg/m3
Total DFT energy (no corrections) ... -153.79 eV for the cell shown
D(E_F) ... 1.57 states/eV/atom
ΔE_f ... 336 meV/atom

a = 19.1759 Å, b = 6.0170 Å, c = 11.2904 Å
α = 90.00°, β = 113.54°, γ = 90.00°
Closest atoms and distances in Å follow each position.
Space group C2/c (No. 15)
Symmetry-distinct sites (fractional):
1 Pr 0.0000 0.1004 0.2500 (multiplicity 4)  2 Dy 2.89, 2 Ho 2.96-3.06
2 Dy 0.0000 0.0000 0.0000 (multiplicity 4)  2 Pr 2.89
3 Dy 0.1782 0.2348 0.3622 (multiplicity 8)  1 Dy 3.23, 1 Pr 3.24, 4 Ho 3.36-3.55
4 Ho 0.0000 0.4076 0.7500 (multiplicity 4)  2 Pr 2.96-3.06
5 Ho 0.1628 0.2569 0.6943 (multiplicity 8)  4 Dy 3.36-3.55, 5 Ho 3.46-3.73
6 Ho 0.1701 0.2533 0.0297 (multiplicity 8)  6 Ho 3.39-3.73, 4 Dy 3.49-3.70


(14)
Computed, not measured: a geometry-optimized Pr6Dy12Ho structure at the PBE level of DFT.

ρ ... 7746 kg/m3
Total DFT energy (no corrections) ... -258.24 eV for the cell shown
D(E_F) ... 1.54 states/eV/atom
ΔE_f ... 126 meV/atom

a = 11.1549 Å, b = 11.1549 Å, c = 17.6669 Å
α = 90.00°, β = 90.00°, γ = 120.00°
Closest atoms and distances in Å follow each position.
Space group R-3m (No. 166, hexagonal axes)
Symmetry-distinct sites (fractional):
1 Pr 0.0692 0.5346 0.2674 (multiplicity 18)  1 Ho 3.11, 3 Dy 3.35-3.40
2 Dy 0.1006 0.5503 0.9130 (multiplicity 18)  5 Dy 3.47-3.81, 5 Pr 3.58-3.68
3 Dy 0.1059 0.2117 0.9076 (multiplicity 18)  3 Pr 3.35-3.40, 5 Dy 3.47-3.54
4 Ho 0.0000 0.0000 0.5000 (multiplicity 3)  6 Pr 3.11


(15)
Computed, not measured: a geometry-optimized PrDy5Ho7 structure at the PBE level of DFT.

ρ ... 8215 kg/m3
Total DFT energy (no corrections) ... -113.20 eV for the cell shown
D(E_F) ... 1.81 states/eV/atom
ΔE_f ... 249 meV/atom

a = 6.6642 Å, b = 11.0754 Å, c = 11.5459 Å
α = 90.00°, β = 90.00°, γ = 90.00°
Closest atoms and distances in Å follow each position.
Space group Imm2 (No. 44)
Symmetry-distinct sites (fractional):
1 Pr 0.0000 0.0000 0.0000 (multiplicity 2)  7 Ho 3.50-3.87, 4 Dy 3.78
2 Dy 0.0000 0.5000 0.8012 (multiplicity 2)  6 Ho 3.33-3.46, 4 Dy 3.38
3 Dy 0.2338 0.2297 0.7988 (multiplicity 8)  4 Ho 3.10-3.46, 2 Dy 3.12-3.38
4 Ho 0.0000 0.0000 0.3034 (multiplicity 2)  6 Dy 3.33-3.48, 1 Pr 3.50, 1 Ho 3.52
5 Ho 0.0000 0.0000 0.6081 (multiplicity 2)  7 Ho 3.52-3.88, 4 Dy 3.71
6 Ho 0.0000 0.3307 0.0497 (multiplicity 4)  4 Ho 3.41-3.78, 5 Dy 3.43-3.47, 1 Pr 3.71
7 Ho 0.0000 0.3305 0.5494 (multiplicity 4)  5 Dy 3.46, 5 Ho 3.47-3.78, 2 Pr 3.87
8 Ho 0.0000 0.5000 0.2962 (multiplicity 2)  4 Dy 3.10, 2 Ho 3.41


(16)
Computed, not measured: a geometry-optimized Pr4DyHo7 structure at the PBE level of DFT.

ρ ... 7880 kg/m3
Total DFT energy (no corrections) ... -54.70 eV for the cell shown
D(E_F) ... 1.56 states/eV/atom
ΔE_f ... 89 meV/atom

a = 6.5766 Å, b = 6.8622 Å, c = 9.1152 Å
α = 84.73°, β = 77.26°, γ = 81.73°
Closest atoms and distances in Å follow each position.
Space group P-1 (No. 2)
Symmetry-distinct sites (fractional):
1 Pr 0.1406 0.3102 0.2846 (multiplicity 2)  8 Ho 3.35-3.70, 1 Dy 3.40, 2 Pr 3.53-3.56
2 Pr 0.3342 0.8860 0.6938 (multiplicity 2)  7 Ho 3.40-3.74, 2 Pr 3.53-3.56
3 Dy 0.5000 0.5000 0.0000 (multiplicity 1)  2 Pr 3.40, 4 Ho 3.43-3.49
4 Ho 0.0111 0.2531 0.9508 (multiplicity 2)  5 Ho 3.38-3.56, 4 Pr 3.40-3.70, 1 Dy 3.49
5 Ho 0.1809 0.8009 0.3574 (multiplicity 2)  5 Ho 3.39-3.73, 4 Pr 3.48-3.56
6 Ho 0.3136 0.3951 0.6184 (multiplicity 2)  5 Ho 3.29-3.65, 4 Pr 3.35-3.60
7 Ho 0.5000 0.0000 0.0000 (multiplicity 1)  4 Pr 3.40-3.70, 2 Dy 3.43, 4 Ho 3.53-3.73


(17)
Computed, not measured: a geometry-optimized Pr2DyHo6 structure at the PBE level of DFT.

ρ ... 8128 kg/m3
Total DFT energy (no corrections) ... -162.42 eV for the cell shown
D(E_F) ... 1.32 states/eV/atom
ΔE_f ... 114 meV/atom

a = 12.8412 Å, b = 14.2680 Å, c = 6.5851 Å
α = 90.00°, β = 103.78°, γ = 90.00°
Closest atoms and distances in Å follow each position.
Space group C2/c (No. 15)
Symmetry-distinct sites (fractional):
1 Pr 0.1440 0.0264 0.3748 (multiplicity 8)  3 Pr 3.38-3.67, 7 Ho 3.42-3.69
2 Dy 0.0000 0.3827 0.2500 (multiplicity 4)  8 Ho 3.29-3.67
3 Ho 0.0350 0.1891 0.0031 (multiplicity 8)  5 Ho 3.24-3.57, 1 Dy 3.29, 3 Pr 3.42-3.56
4 Ho 0.1312 0.4097 0.8152 (multiplicity 8)  3 Ho 3.27-3.44, 1 Dy 3.38, 2 Pr 3.53
5 Ho 0.2405 0.2019 0.7314 (multiplicity 8)  7 Ho 3.37-3.75, 2 Pr 3.45-3.69, 1 Dy 3.52


(18)
Computed, not measured: a geometry-optimized Pr5Dy3Ho2 structure at the PBE level of DFT.

ρ ... 7351 kg/m3
Total DFT energy (no corrections) ... -180.51 eV for the cell shown
D(E_F) ... 1.70 states/eV/atom
ΔE_f ... 173 meV/atom

a = 10.7849 Å, b = 14.9118 Å, c = 10.1092 Å
α = 90.00°, β = 122.24°, γ = 90.00°
Closest atoms and distances in Å follow each position.
Space group C2/c (No. 15)
Symmetry-distinct sites (fractional):
1 Pr 0.0000 0.0184 0.2500 (multiplicity 4)  3 Pr 3.13-3.48, 2 Ho 3.43
2 Pr 0.0000 0.2284 0.2500 (multiplicity 4)  3 Pr 3.13-3.44, 2 Dy 3.42, 2 Ho 3.48
3 Pr 0.0000 0.4778 0.7500 (multiplicity 4)  3 Dy 3.07-3.43
4 Pr 0.2476 0.3702 0.2428 (multiplicity 8)  3 Dy 3.42-3.82, 3 Pr 3.44-3.53, 2 Ho 3.73-3.80
5 Dy 0.0000 0.2717 0.7500 (multiplicity 4)  3 Pr 3.07-3.42, 2 Ho 3.39
6 Dy 0.1545 0.3748 0.5579 (multiplicity 8)  1 Ho 3.28, 5 Pr 3.42-3.53, 1 Dy 3.52
7 Ho 0.1534 0.1287 0.0587 (multiplicity 8)  3 Dy 3.28-3.49, 4 Pr 3.43-3.55